The following is a PBE+U calculation of MnHI2O after structural relaxation, from Alexandria via LeMat-Bulk.

Geometry as extended XYZ:
```
5
Lattice="6.017 0.000 0.000 0.000 6.017 0.000 0.000 0.000 2.885" Properties=species:S:1:pos:R:3 pbc="T T T"
Mn 0.000 0.000 0.000
H 3.009 3.009 1.442
I 0.000 3.009 1.442
I 3.009 0.000 1.442
O 3.009 3.009 0.000
```

Properties
Energy relative to the lowest polymorph listed for this composition: 27.5 kJ/mol of atoms